No. 1
Computed, not measured: a relaxed structure of Nb7C2N2 at the PBE level of DFT.

- Space group: No. 44
- Raw total energy: -9.919 eV per atom

Cell lengths 7.391, 7.391, 7.391 Å; angles 156.16, 67.07, 118.36 degrees
Sites, in units of the cell vectors:
Nb 0.000 0.000 0.000
Nb 0.260 0.573 0.687
Nb 0.262 0.377 0.886
Nb 0.491 0.377 0.114
Nb 0.583 0.211 0.372
Nb 0.839 0.211 0.628
Nb 0.886 0.573 0.313
C 0.226 0.726 0.500
C 0.637 0.637 0.000
N 0.095 0.851 0.243
N 0.608 0.851 0.757

---

No. 2
Computed, not measured: a relaxed structure of Nb2C3N6 at the PBE level of DFT.

- Offset from the most stable computed form: 0.000 eV per atom
- Space group: No. 15
- Raw total energy: -9.017 eV per atom

Cell lengths 5.597, 5.597, 10.763 Å; angles 106.41, 106.41, 57.19 degrees
Sites, in units of the cell vectors:
Nb 0.158 0.710 0.501
Nb 0.290 0.842 0.999
Nb 0.710 0.158 0.001
Nb 0.842 0.290 0.499
C 0.080 0.252 0.268
C 0.252 0.080 0.768
C 0.422 0.578 0.250
C 0.578 0.422 0.750
C 0.748 0.920 0.232
C 0.920 0.748 0.732
N 0.057 0.174 0.148
N 0.091 0.334 0.387
N 0.174 0.057 0.648
N 0.334 0.091 0.887
N 0.415 0.562 0.133
N 0.438 0.585 0.367
N 0.562 0.415 0.633
N 0.585 0.438 0.867
N 0.666 0.909 0.113
N 0.826 0.943 0.352
N 0.909 0.666 0.613
N 0.943 0.826 0.852

---

No. 3
Computed, not measured: a relaxed structure of Nb3CN at the PBE level of DFT.

- Offset from the most stable computed form: 0.000 eV per atom
- Space group: No. 188
- Raw total energy: -10.123 eV per atom

Cell lengths 5.262, 5.262, 5.536 Å; angles 90.00, 90.00, 120.00 degrees
Sites, in units of the cell vectors:
Nb 0.001 0.349 0.250
Nb 0.001 0.652 0.750
Nb 0.348 0.349 0.750
Nb 0.348 0.999 0.250
Nb 0.651 0.652 0.250
Nb 0.651 0.999 0.750
C 0.667 0.333 0.000
C 0.667 0.333 0.500
N 0.333 0.667 0.000
N 0.333 0.667 0.500

---

No. 4
Computed, not measured: a relaxed structure of Nb2C3N6 at the PBE level of DFT.

- Offset from the most stable computed form: 0.045 eV per atom
- Space group: No. 155
- Raw total energy: -8.972 eV per atom

Cell lengths 6.038, 6.038, 6.038 Å; angles 54.14, 54.14, 54.14 degrees
Sites, in units of the cell vectors:
Nb 0.166 0.166 0.166
Nb 0.834 0.834 0.834
C 0.000 0.679 0.321
C 0.321 0.000 0.679
C 0.679 0.321 0.000
N 0.023 0.789 0.422
N 0.211 0.977 0.578
N 0.422 0.023 0.789
N 0.578 0.211 0.977
N 0.789 0.422 0.023
N 0.977 0.578 0.211

---

What energy relative to the elements, uncorrected values result from the calculations? In sequence: -0.32 -0.13 -0.57 -0.08 eV per atom.